Entry 1:
VASP calculation (PBE-GGA) on a geometry-optimized Be4Cd2W3 structure.

Structure (POSCAR):
```
Be4Cd2W3
1.0
6.6839 0.0000 0.0000
-3.3420 5.7885 0.0000
0.0000 0.0000 3.2915
Be Cd W
4 2 3
Direct
0.0000 0.0000 0.0000 Be
0.0627 0.3353 0.0000 Be
0.2726 0.9373 0.0000 Be
0.6647 0.7274 0.0000 Be
0.3333 0.6667 0.5000 Cd
0.6667 0.3333 0.0000 Cd
0.2684 0.2148 0.5000 W
0.7852 0.0537 0.5000 W
0.9463 0.7316 0.5000 W
```

Entry 2:
VASP calculation (PBE-GGA) on a geometry-optimized SrCuPdSe3 structure.

Structure (POSCAR):
```
SrCuPdSe3
1.0
2.0447 -6.2226 0.0000
2.0447 6.2226 0.0000
0.0000 0.0000 10.1440
Sr Cu Pd Se
2 2 2 6
Direct
0.2398 0.7602 0.7500 Sr
0.7602 0.2398 0.2500 Sr
0.4646 0.5354 0.2500 Cu
0.5354 0.4646 0.7500 Cu
0.0000 0.0000 0.0000 Pd
0.0000 0.0000 0.5000 Pd
0.0665 0.9335 0.2500 Se
0.3660 0.6340 0.0375 Se
0.3660 0.6340 0.4625 Se
0.6340 0.3660 0.5375 Se
0.6340 0.3660 0.9625 Se
0.9335 0.0665 0.7500 Se
```

Entry 3:
VASP calculation (PBE-GGA) on a geometry-optimized LiMgCuPb structure.

Structure (POSCAR):
```
LiMgCuPb
1.0
0.0000 3.2850 3.2850
3.2850 0.0000 3.2850
3.2850 3.2850 0.0000
Li Mg Cu Pb
1 1 1 1
Direct
0.0000 0.0000 0.0000 Li
0.7500 0.7500 0.7500 Mg
0.5000 0.5000 0.5000 Cu
0.2500 0.2500 0.2500 Pb
```

Computed properties:
The distance to the lowest polymorph of the same formula comes out at 0 meV/atom.

Entry 4:
VASP calculation (PBE-GGA) on a geometry-optimized HfCoAgPb structure.

Structure (POSCAR):
```
HfCoAgPb
1.0
0.0000 3.3056 3.3056
3.3056 0.0000 3.3056
3.3056 3.3056 0.0000
Hf Co Ag Pb
1 1 1 1
Direct
0.0000 0.0000 0.0000 Hf
0.7500 0.7500 0.7500 Co
0.2500 0.2500 0.2500 Ag
0.5000 0.5000 0.5000 Pb
```

Computed properties:
The distance to the lowest polymorph of the same formula comes out at 0 meV/atom.

Entry 5:
VASP calculation (PBE-GGA) on a geometry-optimized Ac4HgIr2 structure.

Structure (POSCAR):
```
Ac4HgIr2
1.0
2.1932 -7.2819 0.0000
2.1932 7.2819 0.0000
0.0000 0.0000 14.8929
Ac Hg Ir
8 2 4
Direct
0.0000 0.0000 0.0000 Ac
0.0000 0.0000 0.5000 Ac
0.2658 0.7342 0.6091 Ac
0.2658 0.7342 0.8909 Ac
0.4396 0.5604 0.2500 Ac
0.5604 0.4396 0.7500 Ac
0.7342 0.2658 0.1091 Ac
0.7342 0.2658 0.3909 Ac
0.1155 0.8845 0.2500 Hg
0.8845 0.1155 0.7500 Hg
0.3679 0.6321 0.0647 Ir
0.3679 0.6321 0.4353 Ir
0.6321 0.3679 0.5647 Ir
0.6321 0.3679 0.9353 Ir
```

Computed properties:
The calculation puts the energy of formation at -0.6108 eV/atom.

Entry 6:
VASP calculation (PBE-GGA) on a geometry-optimized NdTmHf structure.

Structure (POSCAR):
```
NdTmHf
1.0
0.0000 3.6858 3.6858
3.6858 0.0000 3.6858
3.6858 3.6858 0.0000
Nd Tm Hf
1 1 1
Direct
0.0000 0.0000 0.0000 Nd
0.5000 0.5000 0.5000 Tm
0.2500 0.2500 0.2500 Hf
```

Computed properties:
The distance to the lowest polymorph of the same formula comes out at 0 meV/atom. The calculation puts the energy of formation at 0.8575 eV/atom.

no.,raw total energy (eV/atom),calculated density (g/cm³),V (Å³ per cell)
1,-5.71,10.6,127.36
2,-4.25,6.4,258.13
3,-2.82,7.1,70.90
4,-5.74,12.7,72.24
5,-5.53,10.4,475.70
6,-5.54,8.2,100.14